Compound: Ho2Al2Fe2C
Source: Alexandria via LeMat-Bulk
Functional: PBE
Structure: optimized geometry

Cell: 5.790 5.790 7.019 Å, 126.83 126.83 40.34°
Fractional positions:
Ho  0.054  0.054  0.327
Ho  0.946  0.946  0.673
Al  0.337  0.337  0.893
Al  0.663  0.663  0.107
Fe  0.307  0.307  0.205
Fe  0.693  0.693  0.795
C  0.500  0.500  0.500

## Properties
As for the volume: 117.20 Å³ per cell. The energy relative to the elements comes out at -0.3705 eV per atom. Its space-group type is C2/m, No. 12. Its density of states at the Fermi level is 4.0 states/eV/f.u. The value obtained for the final energy is -45.38 eV for the cell shown.